A plane-wave DFT calculation with PBE-GGA was carried out for a relaxed SrTl4Hg12 crystal.

Cell lengths 8.7271, 8.7271, 8.7271 Å; angles 109.47, 109.47, 109.47 degrees
Closest atoms and distances in Å follow each position.
Element x y z (fractional)
Sr 0.0000 0.0000 0.0000  6 Hg 3.18
Tl 0.0000 0.0000 0.5000  12 Hg 3.56-3.62
Tl 0.0000 0.5000 0.0000  12 Hg 3.56-3.62
Tl 0.5000 0.0000 0.0000  12 Hg 3.56-3.62
Tl 0.5000 0.5000 0.5000  12 Hg 3.56-3.62
Hg 0.0000 0.3155 0.3155  4 Hg 3.13, 1 Sr 3.18
Hg 0.0000 0.6845 0.6845  4 Hg 3.13, 1 Sr 3.18
Hg 0.2500 0.5000 0.7500  4 Hg 3.13
Hg 0.2500 0.7500 0.5000  4 Hg 3.13
Hg 0.3155 0.0000 0.3155  4 Hg 3.13, 1 Sr 3.18
Hg 0.3155 0.3155 0.0000  4 Hg 3.13, 1 Sr 3.18
Hg 0.5000 0.2500 0.7500  4 Hg 3.13
Hg 0.5000 0.7500 0.2500  4 Hg 3.13
Hg 0.6845 0.0000 0.6845  4 Hg 3.13, 1 Sr 3.18
Hg 0.6845 0.6845 0.0000  4 Hg 3.13, 1 Sr 3.18
Hg 0.7500 0.2500 0.5000  4 Hg 3.13
Hg 0.7500 0.5000 0.2500  4 Hg 3.13

* ΔH_f (0 K): -0.06 eV/atom
* total DFT energy (no corrections): -0.93 eV per atom

***

A plane-wave DFT calculation with PBE-GGA was carried out for a relaxed HfUCoTc crystal.

Cell lengths 4.6338, 4.6338, 4.6338 Å; angles 60.00, 60.00, 60.00 degrees
Closest atoms and distances in Å follow each position.
Element x y z (fractional)
Hf 0.0000 0.0000 0.0000  4 Co 2.84, 4 Tc 2.84
U 0.5000 0.5000 0.5000  4 Tc 2.84, 4 Co 2.84
Co 0.2500 0.2500 0.2500  4 Hf 2.84, 4 U 2.84
Tc 0.7500 0.7500 0.7500  4 Hf 2.84, 4 U 2.84

* ΔH_f (0 K): -0.12 eV/atom
* total DFT energy (no corrections): -9.80 eV per atom

***

A plane-wave DFT calculation with PBE-GGA was carried out for a relaxed SrBe2Tc crystal.

Cell lengths 4.5285, 4.5285, 4.5285 Å; angles 60.00, 60.00, 60.00 degrees
Closest atoms and distances in Å follow each position.
Element x y z (fractional)
Sr 0.0000 0.0000 0.0000  8 Be 2.77
Be 0.2500 0.2500 0.2500  4 Tc 2.77, 4 Sr 2.77
Be 0.7500 0.7500 0.7500  4 Tc 2.77, 4 Sr 2.77
Tc 0.5000 0.5000 0.5000  8 Be 2.77

* ΔH_f (0 K): 0.82 eV/atom
* total DFT energy (no corrections): -4.05 eV per atom

***

Which value of ΔH_f (0 K) does entry 2 give? -0.12 eV/atom

***

ΔH_f (0 K) of number 2 (HfUCoTc)? -0.12 eV/atom

***

Look up the ΔH_f (0 K) of the second one. -0.12 eV/atom

***

What did the second record say?
A plane-wave DFT calculation with PBE-GGA was carried out for a relaxed HfUCoTc crystal.

Cell lengths 4.6338, 4.6338, 4.6338 Å; angles 60.00, 60.00, 60.00 degrees
Closest atoms and distances in Å follow each position.
Element x y z (fractional)
Hf 0.0000 0.0000 0.0000  4 Co 2.84, 4 Tc 2.84
U 0.5000 0.5000 0.5000  4 Tc 2.84, 4 Co 2.84
Co 0.2500 0.2500 0.2500  4 Hf 2.84, 4 U 2.84
Tc 0.7500 0.7500 0.7500  4 Hf 2.84, 4 U 2.84

* ΔH_f (0 K): -0.12 eV/atom
* total DFT energy (no corrections): -9.80 eV per atom